Entry 1:
# ZnCdPd3

An optimized crystal structure of ZnCdPd3 (GGA-PBE, the Alexandria database).

Computed properties:
crystal system = cubic
polymorph energy (0 for the lowest one) = 9.59 kcal/mol of atoms
symmetry = Pm-3m (221)

a = 4.6346 Å, b = 4.6346 Å, c = 4.6346 Å
α = 90.00°, β = 90.00°, γ = 90.00°
Closest atoms and distances in Å follow each position.
Atoms (fractional coordinates):
Zn 0.0000 0.0000 0.0000  6 Pd 2.32
Pd 0.0000 0.5000 0.0000  2 Zn 2.32
Pd 0.0000 0.0000 0.5000  2 Zn 2.32
Pd 0.5000 0.0000 0.0000  2 Zn 2.32
Cd 0.5000 0.5000 0.5000  12 Pd 3.28

=====

Entry 2:
# ZnCdPd2

An optimized crystal structure of ZnCdPd2 (GGA-PBE, the Alexandria database).

Computed properties:
crystal system = tetragonal
symmetry = I-42d (122)

a = 7.1012 Å, b = 7.1012 Å, c = 5.7473 Å
α = 51.85°, β = 51.85°, γ = 90.00°
Closest atoms and distances in Å follow each position.
Atoms (fractional coordinates):
Zn 0.5000 0.5000 0.0000  4 Pd 2.48
Zn 0.2500 0.7500 0.5000  4 Pd 2.48
Pd 0.5976 0.1250 0.2500  2 Zn 2.48, 2 Cd 2.74
Pd 0.1524 0.6250 0.2500  2 Zn 2.48, 2 Cd 2.74
Pd 0.3750 0.4024 0.7500  2 Zn 2.48, 2 Cd 2.74
Pd 0.8750 0.8476 0.7500  2 Zn 2.48, 2 Cd 2.74
Cd 0.0000 0.0000 0.0000  4 Pd 2.74, 2 Zn 2.80
Cd 0.7500 0.2500 0.5000  4 Pd 2.74, 2 Zn 2.80

=====

Entry 3:
# ZnCdPd3

An optimized crystal structure of ZnCdPd3 (GGA-PBE, the Alexandria database).

Computed properties:
crystal system = orthorhombic
polymorph energy (0 for the lowest one) = 0.00 kcal/mol of atoms
symmetry = Cmcm (63)

a = 8.0785 Å, b = 6.6988 Å, c = 6.6988 Å
α = 77.01°, β = 90.00°, γ = 90.00°
Closest atoms and distances in Å follow each position.
Atoms (fractional coordinates):
Zn 0.7500 0.4958 0.1177  6 Pd 2.58-2.62
Zn 0.7500 0.8823 0.5042  6 Pd 2.58-2.62
Zn 0.2500 0.5042 0.8823  6 Pd 2.58-2.62
Zn 0.2500 0.1177 0.4958  6 Pd 2.58-2.62
Cd 0.2500 0.0340 0.9660  8 Pd 2.82-2.86, 2 Zn 3.07
Cd 0.7500 0.9660 0.0340  8 Pd 2.82-2.86, 2 Zn 3.07
Cd 0.2500 0.6385 0.3615  8 Pd 2.75-2.83
Cd 0.7500 0.3615 0.6385  8 Pd 2.75-2.83
Pd 0.5210 0.2994 0.9658  2 Zn 2.58-2.61, 5 Pd 2.77-2.85, 3 Cd 2.82-2.86
Pd 0.9790 0.0342 0.7006  2 Zn 2.58-2.61, 5 Pd 2.77-2.85, 3 Cd 2.82-2.86
Pd 0.4790 0.7006 0.0342  2 Zn 2.58-2.61, 5 Pd 2.77-2.85, 3 Cd 2.82-2.86
Pd 0.0210 0.9658 0.2994  2 Zn 2.58-2.61, 5 Pd 2.77-2.85, 3 Cd 2.82-2.86
Pd 0.0210 0.7006 0.0341  2 Zn 2.58-2.61, 5 Pd 2.77-2.85, 3 Cd 2.82-2.86
Pd 0.4790 0.9659 0.2994  2 Zn 2.58-2.61, 5 Pd 2.77-2.85, 3 Cd 2.82-2.86
Pd 0.9790 0.2994 0.9659  2 Zn 2.58-2.61, 5 Pd 2.77-2.85, 3 Cd 2.82-2.86
Pd 0.5210 0.0341 0.7006  2 Zn 2.58-2.61, 5 Pd 2.77-2.85, 3 Cd 2.82-2.86
Pd 0.5000 0.3602 0.3602  2 Zn 2.62, 2 Cd 2.75, 5 Pd 2.77-2.93
Pd 0.0000 0.6398 0.6398  2 Zn 2.62, 2 Cd 2.75, 5 Pd 2.77-2.93
Pd 0.5000 0.6398 0.6398  2 Zn 2.62, 2 Cd 2.75, 5 Pd 2.77-2.93
Pd 0.0000 0.3602 0.3602  2 Zn 2.62, 2 Cd 2.75, 5 Pd 2.77-2.93

=====

| no. | E_form (eV/atom) |
| --- | --- |
| 1 | 0.185 |
| 2 | -0.154 |
| 3 | -0.230 |